No. 1
Density functional theory data (PBE) for KIn2Ni after structural relaxation.

a = 3.627 Å, b = 3.627 Å, c = 8.380 Å
α = 90.00°, β = 90.00°, γ = 90.00°
Sites, in units of the cell vectors:
In (0.000, 0.000, 0.922)
In (0.500, 0.500, 0.188)
K (0.000, 0.000, 0.515)
Ni (0.500, 0.500, 0.876)

## Properties
The value obtained for the density of states at the Fermi level is 0.692 states/eV per atom. For the formation energy, the calculation gives 68 meV per atom. Its symmetry is No. 99. The magnetic moment comes out at 0.00 μB per formula unit.



No. 2
Density functional theory data (PBE) for YZrTaCd2 after structural relaxation.

a = 5.290 Å, b = 5.124 Å, c = 5.290 Å
α = 90.00°, β = 90.00°, γ = 90.00°
Sites, in units of the cell vectors:
Y (0.000, 0.000, 0.000)
Zr (0.000, 0.500, 0.000)
Cd (0.500, 0.000, 0.000)
Cd (0.000, 0.000, 0.500)
Ta (0.500, 0.500, 0.500)

## Properties
The value obtained for the density of states at the Fermi level is 1.426 states/eV per atom. For the formation energy, the calculation gives 1844 meV per atom. Its symmetry is No. 123. The magnetic moment comes out at 0.00 μB per formula unit.



No. 3
Density functional theory data (PBE) for CsBiIN2 after structural relaxation.

a = 4.875 Å, b = 4.875 Å, c = 7.359 Å
α = 90.00°, β = 90.00°, γ = 90.00°
Sites, in units of the cell vectors:
N (0.500, 0.000, 0.000)
N (0.000, 0.500, 0.000)
I (0.000, 0.000, 0.500)
Cs (0.000, 0.000, 0.000)
Bi (0.500, 0.500, 0.500)

## Properties
The value obtained for the density of states at the Fermi level is 1.048 states/eV per atom. Its energy above the most stable polymorph in this dataset is 1109 meV/atom. Its symmetry is No. 123. The magnetic moment comes out at 2.05 μB per formula unit. As for the raw formation energy: 2.04 eV per atom.